Y2Ho3Hg4 | PBE | relaxed

Summary:
**D(E_F)**: 0.826 states/eV/atom
**Density**: 9.86 g/cm³
**ΔE_f**: -0.34 eV/atom

Cell: 6.925 7.985 9.625 Å, 90.00 111.08 90.00°
Fractional coordinates of all 18 atoms:
1 Hg 0.666 0.534 0.332
2 Hg 0.817 0.250 0.134
3 Hg 0.183 0.750 0.866
4 Hg 0.166 0.966 0.332
5 Hg 0.334 0.466 0.668
6 Hg 0.683 0.750 0.866
7 Hg 0.317 0.250 0.134
8 Hg 0.834 0.034 0.668
9 Y 0.905 0.412 0.809
10 Y 0.095 0.588 0.191
11 Y 0.595 0.912 0.191
12 Y 0.405 0.088 0.809
13 Ho 0.488 0.250 0.476
14 Ho 0.012 0.750 0.524
15 Ho 0.988 0.250 0.476
16 Ho 0.500 0.500 0.000
17 Ho 0.000 0.000 0.000
18 Ho 0.512 0.750 0.524